Entry 1:
## LiAlTc (PBE)

Data for an optimized crystal structure of LiAlTc.

Lattice parameters (Å, degrees): 5.0889 5.0889 5.0889 145.65 145.65 49.36
Closest atoms and distances in Å follow each position.
Fractional coordinates of all 3 atoms:
Li 0.0000 0.0000 0.0000  4 Al 2.61, 4 Tc 2.64
Al 0.3370 0.3370 0.0000  4 Li 2.61, 4 Tc 2.63
Tc 0.6694 0.6694 0.0000  4 Al 2.63, 4 Li 2.64

## Properties
As for the size of the total moment: 1.2 μB per formula unit. Its density is 5.245 g/cm3. The formation energy comes out at 0.10 eV/atom. The value obtained for the calculated volume is 13.92 Å³ per atom. As for the space group: I4mm. As for the density of states at the Fermi level: 2.02 states/eV/f.u.

=====

Entry 2:
## LiAlTc2 (PBE)

Data for an optimized crystal structure of LiAlTc2.

Lattice parameters (Å, degrees): 2.6957 2.6957 9.0200 90.00 90.00 114.05
Closest atoms and distances in Å follow each position.
Fractional coordinates of all 4 atoms:
Li 0.0000 0.0000 0.0000  6 Li 2.70-2.93, 2 Al 2.75, 2 Tc 2.75
Al 0.5000 0.5000 0.2573  2 Tc 2.67, 6 Al 2.70-2.93, 2 Li 2.75
Tc 0.0000 0.0000 0.5042  6 Tc 2.60-2.70, 2 Al 2.67
Tc 0.5000 0.5000 0.7416  6 Tc 2.60-2.70, 2 Li 2.75

## Properties
As for the size of the total moment: 0.0 μB per formula unit. Its density is 6.378 g/cm3. The formation energy comes out at 0.07 eV/atom. The value obtained for the calculated volume is 14.97 Å³ per atom. As for the space group: Cmm2. As for the density of states at the Fermi level: 2.52 states/eV/f.u.

=====

Entry 3:
## LiAlTc3 (PBE)

Data for an optimized crystal structure of LiAlTc3.

Lattice parameters (Å, degrees): 4.5035 4.5035 4.5035 90.00 90.00 90.00
Closest atoms and distances in Å follow each position.
Fractional coordinates of all 5 atoms:
Li 0.0000 0.0000 0.0000  12 Tc 3.18
Al 0.5000 0.5000 0.5000  6 Tc 2.25
Tc 0.0000 0.5000 0.5000  2 Al 2.25
Tc 0.5000 0.0000 0.5000  2 Al 2.25
Tc 0.5000 0.5000 0.0000  2 Al 2.25

## Properties
As for the size of the total moment: 0.0 μB per formula unit. Its density is 5.962 g/cm3. The formation energy comes out at 1.46 eV/atom. The value obtained for the calculated volume is 18.27 Å³ per atom. As for the space group: Pm-3m. As for the density of states at the Fermi level: 6.87 states/eV/f.u.

=====

Entry 4:
## LiAlTc (PBE)

Data for an optimized crystal structure of LiAlTc.

Lattice parameters (Å, degrees): 6.7430 6.7430 6.7430 157.40 157.40 32.18
Closest atoms and distances in Å follow each position.
Fractional coordinates of all 3 atoms:
Li 0.0000 0.0000 0.0000  4 Li 2.64, 4 Tc 2.91, 4 Al 2.93
Al 0.6744 0.6744 0.0000  4 Al 2.64, 4 Tc 2.73, 4 Li 2.93
Tc 0.3282 0.3282 0.0000  4 Tc 2.64, 4 Al 2.73, 4 Li 2.91

## Properties
As for the size of the total moment: 0.0 μB per formula unit. Its density is 4.841 g/cm3. The formation energy comes out at 0.05 eV/atom. The value obtained for the calculated volume is 15.08 Å³ per atom. As for the space group: I4mm. As for the density of states at the Fermi level: 2.23 states/eV/f.u.